No. 1
Pr5Tl3Pb | GGA-PBE | optimized geometry

```
Pr5Tl3Pb
1.0
6.776 0.000 0.000
0.000 9.859 0.000
0.000 -4.929 8.538
Pr Tl Pb
10 6 2
Cartesian
0.000 0.000 5.692 Pr
3.388 4.929 2.846 Pr
0.000 4.929 2.846 Pr
3.388 0.000 5.692 Pr
5.082 7.066 0.000 Pr
5.082 1.396 2.419 Pr
5.082 -3.533 6.119 Pr
1.694 2.793 0.000 Pr
1.694 3.533 6.119 Pr
1.694 -1.396 2.419 Pr
5.082 3.722 0.000 Tl
5.082 3.068 5.314 Tl
5.082 -1.861 3.223 Tl
1.694 6.136 0.000 Tl
1.694 1.861 3.223 Tl
1.694 -3.068 5.314 Tl
0.000 0.000 0.000 Pb
3.388 0.000 0.000 Pb
```

Calculated values
The calculation puts the formation enthalpy at 0 K at -0.376 eV per atom. As for the crystal system: hexagonal. The value obtained for the density of states at the Fermi level is 11.4 states/eV/f.u.



No. 2
Pr12Tl3Pb | GGA-PBE | optimized geometry

```
Pr12Tl3Pb
1.0
-1.085 -2.167 -4.412
-4.068 -2.141 2.052
-11.040 16.032 -5.160
Pr Tl Pb
12 3 1
Cartesian
-2.576 -2.154 -1.180 Pr
-5.338 1.857 -2.471 Pr
-8.096 5.862 -3.760 Pr
-10.854 9.867 -5.049 Pr
-1.920 0.916 -2.850 Pr
-4.680 4.925 -4.140 Pr
-7.445 8.940 -5.432 Pr
-10.205 12.948 -6.722 Pr
-3.411 0.930 0.382 Pr
-6.171 4.938 -0.908 Pr
-8.936 8.953 -2.200 Pr
-11.696 12.962 -3.490 Pr
-2.762 4.011 -1.291 Tl
-5.520 8.016 -2.580 Tl
-8.278 12.021 -3.869 Tl
0.000 0.000 0.000 Pb
```

Calculated values
The calculation puts the formation enthalpy at 0 K at -0.247 eV per atom. As for the crystal system: tetragonal. The value obtained for the density of states at the Fermi level is 23.5 states/eV/f.u.



No. 3
Pr2TlPb2 | GGA-PBE | optimized geometry

```
Pr2TlPb2
1.0
-2.768 -3.205 -1.766
6.644 -4.340 -2.538
0.103 -4.088 7.259
Pr Tl Pb
4 2 4
Cartesian
3.125 -5.255 -1.321 Pr
-0.181 -3.691 1.023 Pr
0.854 -6.377 4.276 Pr
4.161 -7.942 1.933 Pr
0.000 0.000 0.000 Tl
3.373 -4.214 2.360 Tl
0.918 -3.126 4.236 Pb
4.265 -6.290 4.732 Pb
5.829 -5.301 0.485 Pb
2.482 -2.137 -0.011 Pb
```

Calculated values
The calculation puts the formation enthalpy at 0 K at -0.438 eV per atom. The value obtained for the distance to the lowest polymorph of the same formula is 0 meV/atom. As for the crystal system: tetragonal. The value obtained for the density of states at the Fermi level is 2.9 states/eV/f.u.